VASP calculation (GGA-PBE) on a geometry-optimized YReSi2 structure.

* final energy: -29.4 eV per cell
* theoretical density: 8.08 g/cm³
* magnetic moment: 0.000 μB/atom

abc: 3.6224 4.1451 4.5336
angles: 90.00 90.00 90.00
Space group Pmmm (No. 47)
Asymmetric unit:
Y  0.0000  0.0000  0.0000
Re  0.5000  0.0000  0.5000
Si  0.0000  0.5000  0.5000
Si  0.5000  0.5000  0.0000